w) # BaCrOs2

An optimized crystal structure of BaCrOs2 (PBE-GGA, Alexandria).

Summary:
DOS at the Fermi energy, states/eV per atom: 1.125

a b c (Å): 4.6899 4.6899 4.6899
angles (deg): 60.00 60.00 60.00
With the nearest neighbours (Å) after each atom.
Positions (direct):
Ba: 0.0000 0.0000 0.0000  8 Os 2.87
Cr: 0.5000 0.5000 0.5000  8 Os 2.87
Os: 0.2500 0.2500 0.2500  4 Ba 2.87, 4 Cr 2.87
Os: 0.7500 0.7500 0.7500  4 Cr 2.87, 4 Ba 2.87



x) # BaCrOs2

An optimized crystal structure of BaCrOs2 (PBE-GGA, Alexandria).

Summary:
DOS at the Fermi energy, states/eV per atom: 1.235

a b c (Å): 5.4689 5.4689 2.9892
angles (deg): 90.00 90.00 119.46
With the nearest neighbours (Å) after each atom.
Positions (direct):
Ba: 0.0000 0.0000 0.0000  2 Cr 2.76, 2 Ba 2.99
Cr: 0.5000 0.5000 0.0000  2 Ba 2.76, 2 Cr 2.99
Os: 0.0000 0.5000 0.5000  4 Os 2.76-2.99
Os: 0.5000 0.0000 0.5000  4 Os 2.76-2.99



Most stable structure, least stable structure: x), w).



w) # BaCrOs2

An optimized crystal structure of BaCrOs2 (PBE-GGA, Alexandria).

Summary:
DOS at the Fermi energy, states/eV per atom: 1.502

a b c (Å): 3.0572 3.0572 8.0482
angles (deg): 90.00 90.00 90.00
With the nearest neighbours (Å) after each atom.
Positions (direct):
Ba: 0.0000 0.0000 0.0000  4 Ba 3.06
Cr: 0.0000 0.0000 0.5000  8 Os 2.55
Os: 0.5000 0.5000 0.3321  4 Cr 2.55, 1 Os 2.70
Os: 0.5000 0.5000 0.6679  4 Cr 2.55, 1 Os 2.70



x) # BaCrOs2

An optimized crystal structure of BaCrOs2 (PBE-GGA, Alexandria).

Summary:
DOS at the Fermi energy, states/eV per atom: 0.992

a b c (Å): 9.9804 9.9804 9.9804
angles (deg): 16.83 16.83 16.83
With the nearest neighbours (Å) after each atom.
Positions (direct):
Ba: 0.0000 0.0000 0.0000  6 Ba 2.92
Cr: 0.5000 0.5000 0.5000  6 Os 2.55
Os: 0.2316 0.2316 0.2316  3 Cr 2.55
Os: 0.7684 0.7684 0.7684  3 Cr 2.55



y) # BaCrOs2

An optimized crystal structure of BaCrOs2 (PBE-GGA, Alexandria).

Summary:
DOS at the Fermi energy, states/eV per atom: 1.341

a b c (Å): 5.7384 5.7384 2.9385
angles (deg): 102.17 102.17 120.88
With the nearest neighbours (Å) after each atom.
Positions (direct):
Ba: 0.0000 0.0000 0.0000  4 Cr 2.83-3.09, 4 Os 2.93, 2 Ba 2.94
Cr: 0.5000 0.5000 0.0000  4 Ba 2.83-3.09, 4 Os 2.93, 2 Cr 2.94
Os: 0.0000 0.5000 0.5000  6 Os 2.83-3.09, 2 Cr 2.93, 2 Ba 2.93
Os: 0.5000 0.0000 0.5000  6 Os 2.83-3.09, 2 Ba 2.93, 2 Cr 2.93



z) # BaCrOs2

An optimized crystal structure of BaCrOs2 (PBE-GGA, Alexandria).

Summary:
DOS at the Fermi energy, states/eV per atom: 1.185

a b c (Å): 5.7979 5.7979 5.7979
angles (deg): 150.92 128.29 60.42
With the nearest neighbours (Å) after each atom.
Positions (direct):
Ba: 0.0000 0.0000 0.0000  2 Ba 2.91, 4 Cr 2.92, 4 Os 3.21
Cr: 0.5000 0.5000 0.0000  4 Os 2.60
Os: 0.2853 0.7853 0.5000  2 Cr 2.60
Os: 0.7147 0.2147 0.5000  2 Cr 2.60



Most stable structure, least stable structure: w), y).